First-principles (PBEsol) data for HfGa2Cl after structural relaxation, as listed in Alexandria.

Calculated values
Mass density in g/cm3: 7.5
Magnetic moment in μB/atom: 0.000
Formation energy (no corrections) in eV/atom: 0.194
V in Å³/atom: 19.53
Calculated total energy in eV/atom: -4.604

CIF file:
```
data_HfGa2Cl
_chemical_formula_sum 'Hf1 Ga2 Cl1'
_cell_length_a 4.798
_cell_length_b 4.798
_cell_length_c 4.798
_cell_angle_alpha 60.00
_cell_angle_beta 60.00
_cell_angle_gamma 60.00
_symmetry_space_group_name_H-M 'P 1'
_symmetry_Int_Tables_number 1
_symmetry_space_group_name_Hall 'P 1'
loop_
_atom_site_label
_atom_site_type_symbol
_atom_site_fract_x
_atom_site_fract_y
_atom_site_fract_z
Hf1 Hf 0.500 0.500 0.500
Ga1 Ga 0.250 0.250 0.250
Ga2 Ga 0.750 0.750 0.750
Cl1 Cl 0.000 0.000 0.000
```

First-principles (PBEsol) data for Ga2Hg3Cl8 after structural relaxation, as listed in Alexandria.

Calculated values
Mass density in g/cm3: 4.5
Magnetic moment in μB/atom: 0.000
Formation energy (no corrections) in eV/atom: -0.848
V in Å³/atom: 28.80
Calculated total energy in eV/atom: -2.728

CIF file:
```
data_Ga2Hg3Cl8
_chemical_formula_sum 'Ga8 Hg12 Cl32'
_cell_length_a 7.104
_cell_length_b 14.218
_cell_length_c 15.006
_cell_angle_alpha 90.00
_cell_angle_beta 90.00
_cell_angle_gamma 98.82
_symmetry_space_group_name_H-M 'P 1'
_symmetry_Int_Tables_number 1
_symmetry_space_group_name_Hall 'P 1'
loop_
_atom_site_label
_atom_site_type_symbol
_atom_site_fract_x
_atom_site_fract_y
_atom_site_fract_z
Ga1 Ga 0.414 0.903 0.683
Ga2 Ga 0.586 0.597 0.183
Ga3 Ga 0.586 0.097 0.317
Ga4 Ga 0.414 0.403 0.817
Ga5 Ga 0.184 0.224 0.103
Ga6 Ga 0.816 0.276 0.603
Ga7 Ga 0.816 0.776 0.897
Ga8 Ga 0.184 0.724 0.397
Hg1 Hg 0.810 0.101 0.867
Hg2 Hg 0.190 0.399 0.367
Hg3 Hg 0.190 0.899 0.133
Hg4 Hg 0.810 0.601 0.633
Hg5 Hg 0.988 0.027 0.739
Hg6 Hg 0.012 0.473 0.239
Hg7 Hg 0.012 0.973 0.261
Hg8 Hg 0.988 0.527 0.761
Hg9 Hg 0.626 0.193 0.979
Hg10 Hg 0.374 0.307 0.479
Hg11 Hg 0.374 0.807 0.021
Hg12 Hg 0.626 0.693 0.521
Cl1 Cl 0.336 0.751 0.669
Cl2 Cl 0.664 0.749 0.169
Cl3 Cl 0.664 0.249 0.331
Cl4 Cl 0.336 0.251 0.831
Cl5 Cl 0.418 0.952 0.821
Cl6 Cl 0.582 0.548 0.321
Cl7 Cl 0.582 0.048 0.179
Cl8 Cl 0.418 0.452 0.679
Cl9 Cl 0.185 0.971 0.616
Cl10 Cl 0.815 0.529 0.116
Cl11 Cl 0.815 0.029 0.384
Cl12 Cl 0.185 0.471 0.884
Cl13 Cl 0.667 0.958 0.607
Cl14 Cl 0.333 0.542 0.107
Cl15 Cl 0.333 0.042 0.393
Cl16 Cl 0.667 0.458 0.893
Cl17 Cl 0.147 0.191 0.244
Cl18 Cl 0.853 0.309 0.744
Cl19 Cl 0.853 0.809 0.756
Cl20 Cl 0.147 0.691 0.256
Cl21 Cl 0.480 0.302 0.086
Cl22 Cl 0.520 0.198 0.586
Cl23 Cl 0.520 0.698 0.914
Cl24 Cl 0.480 0.802 0.414
Cl25 Cl 0.987 0.319 0.064
Cl26 Cl 0.013 0.181 0.564
Cl27 Cl 0.013 0.681 0.936
Cl28 Cl 0.987 0.819 0.436
Cl29 Cl 0.167 0.098 0.020
Cl30 Cl 0.833 0.402 0.520
Cl31 Cl 0.833 0.902 0.980
Cl32 Cl 0.167 0.598 0.480
```

First-principles (PBEsol) data for Ga3HgCl after structural relaxation, as listed in Alexandria.

Calculated values
Mass density in g/cm3: 5.4
Magnetic moment in μB/atom: 0.000
Formation energy (no corrections) in eV/atom: 0.189
V in Å³/atom: 27.18
Calculated total energy in eV/atom: -2.330

CIF file:
```
data_Ga3HgCl
_chemical_formula_sum 'Ga3 Hg1 Cl1'
_cell_length_a 5.142
_cell_length_b 5.142
_cell_length_c 5.142
_cell_angle_alpha 90.00
_cell_angle_beta 90.00
_cell_angle_gamma 90.00
_symmetry_space_group_name_H-M 'P 1'
_symmetry_Int_Tables_number 1
_symmetry_space_group_name_Hall 'P 1'
loop_
_atom_site_label
_atom_site_type_symbol
_atom_site_fract_x
_atom_site_fract_y
_atom_site_fract_z
Hg1 Hg 0.000 0.000 0.000
Ga1 Ga 0.000 0.500 0.000
Ga2 Ga 0.000 0.000 0.500
Ga3 Ga 0.500 0.000 0.000
Cl1 Cl 0.500 0.500 0.500
```

First-principles (PBEsol) data for MgGaHgCl2 after structural relaxation, as listed in Alexandria.

Calculated values
Mass density in g/cm3: 4.5
Magnetic moment in μB/atom: 0.000
Formation energy (no corrections) in eV/atom: -0.322
V in Å³/atom: 27.03
Calculated total energy in eV/atom: -2.250

CIF file:
```
data_MgGaHgCl2
_chemical_formula_sum 'Mg1 Ga1 Hg1 Cl2'
_cell_length_a 5.009
_cell_length_b 5.009
_cell_length_c 5.386
_cell_angle_alpha 90.00
_cell_angle_beta 90.00
_cell_angle_gamma 90.00
_symmetry_space_group_name_H-M 'P 1'
_symmetry_Int_Tables_number 1
_symmetry_space_group_name_Hall 'P 1'
loop_
_atom_site_label
_atom_site_type_symbol
_atom_site_fract_x
_atom_site_fract_y
_atom_site_fract_z
Mg1 Mg 0.000 0.000 0.500
Hg1 Hg 0.500 0.500 0.500
Ga1 Ga 0.000 0.000 0.000
Cl1 Cl 0.000 0.500 0.000
Cl2 Cl 0.500 0.000 0.000
```

First-principles (PBEsol) data for GaHg2SbCl4 after structural relaxation, as listed in Alexandria.

Calculated values
Mass density in g/cm3: 5.2
Magnetic moment in μB/atom: 0.000
Formation energy (no corrections) in eV/atom: -0.718
V in Å³/atom: 29.23
Calculated total energy in eV/atom: -2.850

CIF file:
```
data_GaHg2SbCl4
_chemical_formula_sum 'Ga8 Hg16 Sb8 Cl32'
_cell_length_a 8.763
_cell_length_b 12.108
_cell_length_c 17.630
_cell_angle_alpha 90.00
_cell_angle_beta 90.00
_cell_angle_gamma 90.00
_symmetry_space_group_name_H-M 'P 1'
_symmetry_Int_Tables_number 1
_symmetry_space_group_name_Hall 'P 1'
loop_
_atom_site_label
_atom_site_type_symbol
_atom_site_fract_x
_atom_site_fract_y
_atom_site_fract_z
Ga1 Ga 0.337 0.993 0.618
Ga2 Ga 0.344 0.211 0.866
Ga3 Ga 0.163 0.993 0.118
Ga4 Ga 0.656 0.711 0.134
Ga5 Ga 0.837 0.493 0.882
Ga6 Ga 0.663 0.493 0.382
Ga7 Ga 0.844 0.711 0.634
Ga8 Ga 0.156 0.211 0.366
Hg1 Hg 0.922 0.831 0.372
Hg2 Hg 0.578 0.831 0.872
Hg3 Hg 0.760 0.095 0.495
Hg4 Hg 0.711 0.095 0.245
Hg5 Hg 0.211 0.595 0.255
Hg6 Hg 0.260 0.595 0.005
Hg7 Hg 0.424 0.858 0.380
Hg8 Hg 0.789 0.095 0.745
Hg9 Hg 0.076 0.858 0.880
Hg10 Hg 0.924 0.358 0.120
Hg11 Hg 0.078 0.331 0.628
Hg12 Hg 0.422 0.331 0.128
Hg13 Hg 0.576 0.358 0.620
Hg14 Hg 0.740 0.095 0.995
Hg15 Hg 0.289 0.595 0.755
Hg16 Hg 0.240 0.595 0.505
Sb1 Sb 0.187 0.473 0.128
Sb2 Sb 0.815 0.218 0.620
Sb3 Sb 0.315 0.718 0.880
Sb4 Sb 0.687 0.973 0.372
Sb5 Sb 0.185 0.718 0.380
Sb6 Sb 0.313 0.473 0.628
Sb7 Sb 0.813 0.973 0.872
Sb8 Sb 0.685 0.218 0.120
Cl1 Cl 0.928 0.633 0.947
Cl2 Cl 0.640 0.697 0.704
Cl3 Cl 0.096 0.024 0.636
Cl4 Cl 0.596 0.524 0.864
Cl5 Cl 0.627 0.341 0.446
Cl6 Cl 0.038 0.978 0.225
Cl7 Cl 0.140 0.197 0.796
Cl8 Cl 0.608 0.555 0.075
Cl9 Cl 0.873 0.341 0.946
Cl10 Cl 0.318 0.340 0.951
Cl11 Cl 0.538 0.478 0.275
Cl12 Cl 0.461 0.756 0.206
Cl13 Cl 0.039 0.756 0.706
Cl14 Cl 0.404 0.024 0.136
Cl15 Cl 0.182 0.340 0.451
Cl16 Cl 0.860 0.697 0.204
Cl17 Cl 0.428 0.133 0.553
Cl18 Cl 0.904 0.524 0.364
Cl19 Cl 0.539 0.256 0.794
Cl20 Cl 0.818 0.840 0.549
Cl21 Cl 0.108 0.055 0.425
Cl22 Cl 0.127 0.841 0.054
Cl23 Cl 0.892 0.555 0.575
Cl24 Cl 0.961 0.256 0.294
Cl25 Cl 0.962 0.478 0.775
Cl26 Cl 0.072 0.133 0.053
Cl27 Cl 0.392 0.055 0.925
Cl28 Cl 0.360 0.197 0.296
Cl29 Cl 0.572 0.633 0.447
Cl30 Cl 0.373 0.841 0.554
Cl31 Cl 0.682 0.840 0.049
Cl32 Cl 0.462 0.978 0.725
```

First-principles (PBEsol) data for Ga2TcHgCl after structural relaxation, as listed in Alexandria.

Calculated values
Mass density in g/cm3: 6.9
Magnetic moment in μB/atom: 0.349
Formation energy (no corrections) in eV/atom: 0.853
V in Å³/atom: 22.82
Calculated total energy in eV/atom: -3.252

CIF file:
```
data_Ga2TcHgCl
_chemical_formula_sum 'Ga2 Tc1 Hg1 Cl1'
_cell_length_a 4.338
_cell_length_b 5.128
_cell_length_c 5.128
_cell_angle_alpha 90.00
_cell_angle_beta 90.00
_cell_angle_gamma 90.00
_symmetry_space_group_name_H-M 'P 1'
_symmetry_Int_Tables_number 1
_symmetry_space_group_name_Hall 'P 1'
loop_
_atom_site_label
_atom_site_type_symbol
_atom_site_fract_x
_atom_site_fract_y
_atom_site_fract_z
Cl1 Cl 0.000 0.000 0.000
Hg1 Hg 0.500 0.500 0.500
Ga1 Ga 0.000 0.000 0.500
Ga2 Ga 0.000 0.500 0.000
Tc1 Tc 0.500 0.000 0.000
```

First-principles (PBEsol) data for GaI2Cl after structural relaxation, as listed in Alexandria.

Calculated values
Mass density in g/cm3: 5.0
Magnetic moment in μB/atom: 0.000
Formation energy (no corrections) in eV/atom: -0.220
V in Å³/atom: 30.09
Calculated total energy in eV/atom: -2.440

CIF file:
```
data_GaI2Cl
_chemical_formula_sum 'Ga2 I4 Cl2'
_cell_length_a 6.788
_cell_length_b 6.788
_cell_length_c 6.788
_cell_angle_alpha 109.17
_cell_angle_beta 109.62
_cell_angle_gamma 109.62
_symmetry_space_group_name_H-M 'P 1'
_symmetry_Int_Tables_number 1
_symmetry_space_group_name_Hall 'P 1'
loop_
_atom_site_label
_atom_site_type_symbol
_atom_site_fract_x
_atom_site_fract_y
_atom_site_fract_z
I1 I 0.058 0.683 0.125
I2 I 0.942 0.067 0.625
I3 I 0.442 0.375 0.317
I4 I 0.558 0.875 0.933
Ga1 Ga 0.000 0.000 0.000
Ga2 Ga 0.500 0.750 0.250
Cl1 Cl 0.000 0.500 0.500
Cl2 Cl 0.500 0.250 0.750
```

First-principles (PBEsol) data for InGa2Cl7 after structural relaxation, as listed in Alexandria.

Calculated values
Mass density in g/cm3: 3.0
Magnetic moment in μB/atom: 0.000
Formation energy (no corrections) in eV/atom: -1.051
V in Å³/atom: 27.95
Calculated total energy in eV/atom: -3.423

CIF file:
```
data_InGa2Cl7
_chemical_formula_sum 'In4 Ga8 Cl28'
_cell_length_a 8.940
_cell_length_b 10.460
_cell_length_c 11.954
_cell_angle_alpha 90.00
_cell_angle_beta 90.00
_cell_angle_gamma 90.00
_symmetry_space_group_name_H-M 'P 1'
_symmetry_Int_Tables_number 1
_symmetry_space_group_name_Hall 'P 1'
loop_
_atom_site_label
_atom_site_type_symbol
_atom_site_fract_x
_atom_site_fract_y
_atom_site_fract_z
In1 In 0.628 0.371 0.896
In2 In 0.128 0.871 0.604
In3 In 0.872 0.371 0.396
In4 In 0.372 0.871 0.104
Ga1 Ga 0.619 0.741 0.617
Ga2 Ga 0.936 0.003 0.323
Ga3 Ga 0.381 0.241 0.383
Ga4 Ga 0.436 0.503 0.177
Ga5 Ga 0.881 0.741 0.117
Ga6 Ga 0.564 0.003 0.823
Ga7 Ga 0.064 0.503 0.677
Ga8 Ga 0.119 0.241 0.883
Cl1 Cl 0.240 0.369 0.754
Cl2 Cl 0.805 0.686 0.512
Cl3 Cl 0.866 0.384 0.662
Cl4 Cl 0.545 0.162 0.710
Cl5 Cl 0.983 0.589 0.211
Cl6 Cl 0.461 0.865 0.532
Cl7 Cl 0.195 0.186 0.488
Cl8 Cl 0.695 0.686 0.012
Cl9 Cl 0.134 0.884 0.338
Cl10 Cl 0.483 0.089 0.289
Cl11 Cl 0.517 0.589 0.711
Cl12 Cl 0.740 0.869 0.746
Cl13 Cl 0.455 0.662 0.290
Cl14 Cl 0.045 0.662 0.790
Cl15 Cl 0.660 0.058 0.982
Cl16 Cl 0.160 0.558 0.518
Cl17 Cl 0.366 0.884 0.838
Cl18 Cl 0.305 0.186 0.988
Cl19 Cl 0.539 0.365 0.468
Cl20 Cl 0.634 0.384 0.162
Cl21 Cl 0.961 0.365 0.968
Cl22 Cl 0.260 0.369 0.254
Cl23 Cl 0.039 0.865 0.032
Cl24 Cl 0.760 0.869 0.246
Cl25 Cl 0.340 0.558 0.018
Cl26 Cl 0.955 0.162 0.210
Cl27 Cl 0.840 0.058 0.482
Cl28 Cl 0.017 0.089 0.789
```